[1]
Density functional theory data (GGA-PBE) for a geometry-optimized LaZnSe2 structure.

Results
Density = 6.111 Mg/m³
Symmetry = C2/m (12)
Raw total energy = -0.1604 Ha/atom

Lattice parameters (Å, degrees): 3.9974 3.9974 7.4553 105.39 105.39 60.23
Fractional positions:
La: 0.0000 0.0000 0.0000
Zn: 0.5000 0.5000 0.5000
Se: 0.2411 0.2411 0.7177
Se: 0.7589 0.7589 0.2823

[2]
Density functional theory data (GGA-PBE) for a geometry-optimized La4ZnSe structure.

Results
Density = 6.329 Mg/m³
Symmetry = F-43m (216)
Raw total energy = -0.1458 Ha/atom

Lattice parameters (Å, degrees): 6.3803 6.3803 6.3803 60.00 60.00 60.00
Fractional positions:
La: 0.1253 0.1253 0.1253
La: 0.1253 0.1253 0.6240
La: 0.1253 0.6240 0.1253
La: 0.6240 0.1253 0.1253
Zn: 0.5000 0.5000 0.5000
Se: 0.7500 0.7500 0.7500

[3]
Density functional theory data (GGA-PBE) for a geometry-optimized LaZnSe2 structure.

Results
Density = 6.564 Mg/m³
Symmetry = P4/mmm (123)
Raw total energy = -0.1621 Ha/atom

Lattice parameters (Å, degrees): 4.9330 4.9330 3.7655 90.00 90.00 90.00
Fractional positions:
La: 0.0000 0.0000 0.0000
Zn: 0.5000 0.5000 0.0000
Se: 0.0000 0.5000 0.5000
Se: 0.5000 0.0000 0.5000

[4]
Density functional theory data (GGA-PBE) for a geometry-optimized LaZnSe2 structure.

Results
Density = 5.910 Mg/m³
Symmetry = P2/m (10)
Raw total energy = -0.1617 Ha/atom

Lattice parameters (Å, degrees): 3.9114 3.6934 7.0458 90.00 90.28 90.00
Fractional positions:
La: 0.0000 0.0000 0.0000
Zn: 0.5000 0.0000 0.5000
Se: 0.4980 0.5000 0.7631
Se: 0.5020 0.5000 0.2369

[5]
Density functional theory data (GGA-PBE) for a geometry-optimized La2ZnSe structure.

Results
Density = 6.721 Mg/m³
Symmetry = I4/mmm (139)
Raw total energy = -0.1644 Ha/atom

Lattice parameters (Å, degrees): 5.4483 5.4483 5.4483 125.07 125.07 81.42
Fractional positions:
La: 0.2500 0.7500 0.5000
La: 0.7500 0.2500 0.5000
Zn: 0.0000 0.0000 0.0000
Se: 0.5000 0.5000 0.0000

[6]
Density functional theory data (GGA-PBE) for a geometry-optimized La3ZnSe structure.

Results
Density = 5.133 Mg/m³
Symmetry = Pm-3m (221)
Raw total energy = -0.1615 Ha/atom

Lattice parameters (Å, degrees): 5.6621 5.6621 5.6621 90.00 90.00 90.00
Fractional positions:
La: 0.0000 0.0000 0.5000
La: 0.0000 0.5000 0.0000
La: 0.5000 0.0000 0.0000
Zn: 0.5000 0.5000 0.5000
Se: 0.0000 0.0000 0.0000

[7]
Density functional theory data (GGA-PBE) for a geometry-optimized La2ZnSe structure.

Results
Density = 5.858 Mg/m³
Symmetry = R3m (160)
Raw total energy = -0.1692 Ha/atom

Lattice parameters (Å, degrees): 8.3894 8.3894 8.3894 28.61 28.61 28.61
Fractional positions:
La: 0.0000 0.0000 0.0000
La: 0.1649 0.1649 0.1649
Zn: 0.5830 0.5830 0.5830
Se: 0.4149 0.4149 0.4149

[8]
Density functional theory data (GGA-PBE) for a geometry-optimized La2ZnSe structure.

Results
Density = 6.704 Mg/m³
Symmetry = Fm-3m (225)
Raw total energy = -0.1639 Ha/atom

Lattice parameters (Å, degrees): 5.2881 5.2881 5.2881 60.00 60.00 60.00
Fractional positions:
La: 0.2500 0.2500 0.2500
La: 0.7500 0.7500 0.7500
Zn: 0.0000 0.0000 0.0000
Se: 0.5000 0.5000 0.5000

Question: What is the raw total energy in the eighth record?
Answer: -0.1639 Ha/atom

Question: Among the records above, which one has the highest raw total energy?
Answer: La4ZnSe